(1)
A plane-wave DFT calculation with PBE was carried out for a geometry-optimized Gd2TiCuO6 structure.

Results
* VASP energy: -0.71568 Ry/atom
* total magnetization: 30.0 μB/cell
* space-group type: No. 14
* raw formation energy: -27.471 eV/f.u.
* mass density: 7.30 g/cm3

Cell and atoms, written as POSCAR:
```
Gd2TiCuO6
1.0
-3.6191 2.9168 2.7611
2.9159 -1.0747 4.9574
4.0892 6.2053 -1.0600
O Cu Ti Gd
12 2 2 4
Direct
0.7975 0.6710 0.5532
0.2975 0.8290 0.0532
0.6090 0.4619 0.2481
0.6748 0.2051 0.5556
0.2025 0.3290 0.4468
0.8252 0.7051 0.9444
0.1748 0.2949 0.0556
0.3252 0.7949 0.4444
0.3910 0.5381 0.7519
0.8910 0.9619 0.2519
0.1090 0.0381 0.7481
0.7025 0.1710 0.9468
0.5000 0.5000 0.0000
0.0000 0.0000 0.5000
0.0000 0.0000 0.0000
0.5000 0.5000 0.5000
0.9828 0.4239 0.7498
0.0172 0.5761 0.2502
0.4828 0.0761 0.2498
0.5172 0.9239 0.7502
```



(2)
A plane-wave DFT calculation with PBE was carried out for a geometry-optimized TaBeNi2 structure.

Results
* VASP energy: -0.50353 Ry/atom
* total magnetization: 0.0 μB/cell
* space-group type: No. 65
* formation energy from the elements: -66 meV/atom
* mass density: 10.23 g/cm3

Cell and atoms, written as POSCAR:
```
TaBeNi2
1.0
4.1846 0.5789 -0.0857
-0.5917 4.1828 -0.0857
0.0484 0.0641 2.7935
Ta Ni Be
1 2 1
Direct
0.5000 0.0000 0.5000
0.0000 0.0000 0.0000
0.5000 0.5000 0.0000
0.0000 0.5000 0.5000
```